Record 1
Here is an optimized crystal structure of LaTi3Tc from the Alexandria database. Energies are from GGA-PBE.

Output
N(E_F): 8.0 states/eV/cell
Calculated formation energy: 154.5 kJ/mol of atoms
Total magnetization: 1.12 Bohr magnetons per cell
Excess energy over the best structure of this formula in the dataset: 32.36 kcal/mol of atoms

Cell and atoms, written as POSCAR:
```
LaTi3Tc
1.0
4.712 0.000 0.000
0.000 4.712 0.000
0.000 0.000 4.712
Ti La Tc
3 1 1
direct
0.000 0.000 0.500 Ti
0.000 0.500 0.000 Ti
0.500 0.000 0.000 Ti
0.000 0.000 0.000 La
0.500 0.500 0.500 Tc
```

Record 2
Here is an optimized crystal structure of LaTi3Tc from the Alexandria database. Energies are from GGA-PBE.

Output
N(E_F): 8.0 states/eV/cell
Calculated formation energy: 19.2 kJ/mol of atoms
Total magnetization: 0.63 Bohr magnetons per cell
Excess energy over the best structure of this formula in the dataset: 0.00 kcal/mol of atoms

Cell and atoms, written as POSCAR:
```
LaTi3Tc
1.0
4.827 0.000 0.000
0.000 4.827 0.000
0.000 0.000 4.827
Ti Tc La
3 1 1
direct
0.000 0.000 0.500 Ti
0.000 0.500 0.000 Ti
0.500 0.000 0.000 Ti
0.000 0.000 0.000 Tc
0.500 0.500 0.500 La
```

Record 3
Here is an optimized crystal structure of LaTiTc3 from the Alexandria database. Energies are from GGA-PBE.

Output
N(E_F): 6.9 states/eV/cell
Calculated formation energy: 71.3 kJ/mol of atoms
Total magnetization: 2.24 Bohr magnetons per cell
Excess energy over the best structure of this formula in the dataset: 0.00 kcal/mol of atoms

Cell and atoms, written as POSCAR:
```
LaTiTc3
1.0
4.694 0.000 0.000
0.000 4.694 0.000
0.000 0.000 4.694
Tc Ti La
3 1 1
direct
0.000 0.500 0.000 Tc
0.500 0.000 0.000 Tc
0.000 0.000 0.500 Tc
0.000 0.000 0.000 Ti
0.500 0.500 0.500 La
```

Record 4
Here is an optimized crystal structure of La3TlTc from the Alexandria database. Energies are from GGA-PBE.

Output
N(E_F): 20.0 states/eV/cell
Calculated formation energy: -8.4 kJ/mol of atoms
Total magnetization: 0.00 Bohr magnetons per cell
Excess energy over the best structure of this formula in the dataset: 1.95 kcal/mol of atoms

Cell and atoms, written as POSCAR:
```
La3TlTc
1.0
-7.180 3.849 -5.146
1.209 -3.777 -4.513
-6.873 -7.099 4.100
Tc Tl La
4 4 12
direct
0.378 0.656 0.968 Tc
0.122 0.156 0.532 Tc
0.622 0.344 0.032 Tc
0.878 0.844 0.468 Tc
0.025 0.294 0.773 Tl
0.975 0.706 0.227 Tl
0.525 0.206 0.273 Tl
0.475 0.794 0.727 Tl
0.162 0.689 0.537 La
0.338 0.189 0.963 La
0.895 0.251 0.074 La
0.662 0.811 0.037 La
0.660 0.319 0.809 La
0.105 0.749 0.926 La
0.340 0.681 0.191 La
0.160 0.181 0.309 La
0.838 0.311 0.463 La
0.840 0.819 0.691 La
0.605 0.751 0.426 La
0.395 0.249 0.574 La
```

Record 5
Here is an optimized crystal structure of La2TlTc2 from the Alexandria database. Energies are from GGA-PBE.

Output
N(E_F): 21.8 states/eV/cell
Calculated formation energy: 2.1 kJ/mol of atoms
Total magnetization: 0.01 Bohr magnetons per cell
Excess energy over the best structure of this formula in the dataset: 0.00 kcal/mol of atoms

Cell and atoms, written as POSCAR:
```
La2TlTc2
1.0
7.261 0.000 0.000
0.000 7.261 0.000
0.000 0.000 4.711
La Tl Tc
4 2 4
direct
0.181 0.681 0.500 La
0.819 0.319 0.500 La
0.681 0.819 0.500 La
0.319 0.181 0.500 La
0.500 0.500 0.000 Tl
0.000 0.000 0.000 Tl
0.889 0.611 0.000 Tc
0.611 0.111 0.000 Tc
0.111 0.389 0.000 Tc
0.389 0.889 0.000 Tc
```

Record 6
Here is an optimized crystal structure of La2TlTc2 from the Alexandria database. Energies are from GGA-PBE.

Output
N(E_F): 5.7 states/eV/cell
Calculated formation energy: 37.8 kJ/mol of atoms
Total magnetization: 0.00 Bohr magnetons per cell
Excess energy over the best structure of this formula in the dataset: 8.54 kcal/mol of atoms

Cell and atoms, written as POSCAR:
```
La2TlTc2
1.0
5.638 0.000 0.000
0.000 5.638 0.000
2.819 2.819 4.070
Tl Tc La
1 2 2
direct
0.000 0.000 0.000 Tl
0.649 0.649 0.701 Tc
0.351 0.351 0.299 Tc
0.750 0.250 0.500 La
0.250 0.750 0.500 La
```